Entry 1:
DFT (PBE) results for an optimized crystal structure of TbSmO2.

E_tot: -30.07 eV for the cell shown
total magnetization: 0.00 μB/atom
formation energy without anion corrections: -2.7006 eV/atom
distance to the lowest polymorph of the same formula: 104 meV/atom

a b c (Å): 3.4442 3.4442 6.2640
angles (deg): 74.04 74.04 60.00
Closest atoms and distances in Å follow each position.
Positions (direct):
Tb  0.6727  0.6727  0.9820  6 O 2.33-2.46
Sm  0.4948  0.4948  0.5156  6 O 2.52-2.63
O  0.0744  0.0744  0.7768  3 Tb 2.33, 3 Sm 2.52
O  0.2581  0.2581  0.2256  3 Tb 2.46, 3 Sm 2.63



Entry 2:
DFT (PBE) results for an optimized crystal structure of TbSmO.

E_tot: -19.57 eV for the cell shown
total magnetization: 0.00 μB/atom
formation energy without anion corrections: -1.7550 eV/atom
distance to the lowest polymorph of the same formula: 0 meV/atom

a b c (Å): 3.5788 3.5788 5.9061
angles (deg): 90.00 90.00 120.00
Closest atoms and distances in Å follow each position.
Positions (direct):
Tb  0.0000  0.0000  0.1069  3 O 2.43
O  0.6667  0.3333  0.3221  3 Tb 2.43, 3 Sm 2.54
Sm  0.3333  0.6667  0.5710  3 O 2.54



Entry 3:
DFT (PBE) results for an optimized crystal structure of TbSm2O4.

E_tot: -55.83 eV for the cell shown
total magnetization: 0.00 μB/atom
formation energy without anion corrections: -3.1324 eV/atom

a b c (Å): 3.5157 6.0365 6.4726
angles (deg): 120.36 105.76 90.00
Closest atoms and distances in Å follow each position.
Positions (direct):
Tb  0.0000  0.0000  0.0000  6 O 2.28-2.41
Sm  0.6975  0.6967  0.3949  6 O 2.30-2.57
Sm  0.3025  0.3033  0.6051  6 O 2.30-2.57
O  0.8694  0.1594  0.7387  1 Tb 2.28, 3 Sm 2.30-2.47
O  0.1306  0.8406  0.2613  1 Tb 2.28, 3 Sm 2.30-2.47
O  0.6428  0.2635  0.2856  3 Sm 2.33-2.57, 2 Tb 2.41
O  0.3572  0.7365  0.7144  3 Sm 2.33-2.57, 2 Tb 2.41



Entry 4:
DFT (PBE) results for an optimized crystal structure of TbSmO.

E_tot: -75.94 eV for the cell shown
total magnetization: 0.00 μB/atom
formation energy without anion corrections: -1.5595 eV/atom
distance to the lowest polymorph of the same formula: 196 meV/atom

a b c (Å): 3.7200 9.3908 9.3908
angles (deg): 90.00 90.00 90.00
Closest atoms and distances in Å follow each position.
Positions (direct):
Sm  0.5000  0.9356  0.2529  3 O 2.24
Sm  0.5000  0.0644  0.7471  3 O 2.24
Sm  0.0000  0.2529  0.0644  3 O 2.24
Sm  0.0000  0.7471  0.9356  3 O 2.24
Tb  0.5000  0.6984  0.5667  6 Tb 3.34-3.72, 2 O 3.64, 1 Sm 3.69
Tb  0.0000  0.4333  0.6984  6 Tb 3.34-3.72, 2 O 3.64, 1 Sm 3.69
Tb  0.0000  0.5667  0.3016  6 Tb 3.34-3.72, 2 O 3.64, 1 Sm 3.69
Tb  0.5000  0.3016  0.4333  6 Tb 3.34-3.72, 2 O 3.64, 1 Sm 3.69
O  0.5000  0.2037  0.9403  3 Sm 2.24
O  0.0000  0.0597  0.2037  3 Sm 2.24
O  0.0000  0.9403  0.7963  3 Sm 2.24
O  0.5000  0.7963  0.0597  3 Sm 2.24



Entry 5:
DFT (PBE) results for an optimized crystal structure of TbSm2O.

E_tot: -23.62 eV for the cell shown
total magnetization: 0.08 μB/atom
formation energy without anion corrections: -1.1489 eV/atom
distance to the lowest polymorph of the same formula: 0 meV/atom

a b c (Å): 3.5802 3.5802 9.5683
angles (deg): 79.22 79.22 60.00
Closest atoms and distances in Å follow each position.
Positions (direct):
Tb  0.0000  0.0000  0.0000  2 Sm 3.33, 6 Tb 3.58
O  0.5000  0.5000  0.5000  6 Sm 2.46
Sm  0.1190  0.1190  0.6430  3 O 2.46
Sm  0.8810  0.8810  0.3570  3 O 2.46



Entry 6:
DFT (PBE) results for an optimized crystal structure of TbSmO4.

E_tot: -46.75 eV for the cell shown
total magnetization: 0.00 μB/atom
formation energy without anion corrections: -2.9274 eV/atom

a b c (Å): 3.9181 3.8621 6.3729
angles (deg): 96.61 90.00 120.48
Closest atoms and distances in Å follow each position.
Positions (direct):
Tb  0.0561  0.1122  0.0204  7 O 2.28-2.49
Sm  0.4459  0.8918  0.4801  7 O 2.30-2.53
O  0.6653  0.3307  0.8232  1 O 1.51
O  0.4001  0.8003  0.1021  3 Tb 2.28-2.31, 1 Sm 2.39
O  0.0992  0.1984  0.3876  3 Sm 2.30-2.32, 1 Tb 2.32
O  0.8333  0.6667  0.6865  1 O 1.51



Entry 7:
DFT (PBE) results for an optimized crystal structure of TbSm2O.

E_tot: -22.29 eV for the cell shown
total magnetization: 0.00 μB/atom
formation energy without anion corrections: -0.8148 eV/atom
distance to the lowest polymorph of the same formula: 334 meV/atom

a b c (Å): 3.2302 3.2302 8.9727
angles (deg): 90.00 90.00 90.00
Closest atoms and distances in Å follow each position.
Positions (direct):
Tb  0.5000  0.5000  0.5000  4 Tb 3.23
O  0.5000  0.5000  0.0000  8 Sm 2.76
Sm  0.0000  0.0000  0.8278  4 O 2.76
Sm  0.0000  0.0000  0.1722  4 O 2.76



Entry 8:
DFT (PBE) results for an optimized crystal structure of TbSm3O.

E_tot: -29.24 eV for the cell shown
total magnetization: 0.00 μB/atom
formation energy without anion corrections: -1.0988 eV/atom

a b c (Å): 5.0377 5.0377 5.0377
angles (deg): 90.00 90.00 90.00
Closest atoms and distances in Å follow each position.
Positions (direct):
Tb  0.5000  0.5000  0.5000  12 Sm 3.56
O  0.0000  0.0000  0.0000  6 Sm 2.52
Sm  0.0000  0.5000  0.0000  2 O 2.52
Sm  0.0000  0.0000  0.5000  2 O 2.52
Sm  0.5000  0.0000  0.0000  2 O 2.52